[1]
ZrCdAsBr2 PBE-GGA optimized geometry; E_form (uncorrected) = -0.42 eV/atom; density = 4.8 g cm⁻³
1.0
5.3157 0.0000 0.0000
0.0000 5.3157 0.0000
0.0000 0.0000 5.3905
Zr Cd As Br
1 1 1 2
Direct
0.0000 0.0000 0.0000 Zr
0.5000 0.5000 0.5000 Cd
0.0000 0.0000 0.5000 As
0.0000 0.5000 0.0000 Br
0.5000 0.0000 0.0000 Br



[2]
CeAsBr PBE-GGA optimized geometry; E_form (uncorrected) = -1.30 eV/atom; density = 5.3 g cm⁻³
1.0
4.0551 0.0000 0.0000
0.0000 4.0551 0.0000
0.0000 0.0000 22.3367
Ce As Br
4 4 4
Direct
0.0000 0.0000 0.1677 Ce
0.0000 0.0000 0.8323 Ce
0.5000 0.5000 0.3323 Ce
0.5000 0.5000 0.6677 Ce
0.0000 0.0000 0.2993 As
0.0000 0.0000 0.7007 As
0.5000 0.5000 0.2007 As
0.5000 0.5000 0.7993 As
0.0000 0.5000 0.0714 Br
0.0000 0.5000 0.4286 Br
0.5000 0.0000 0.5714 Br
0.5000 0.0000 0.9286 Br



[3]
Ce3As2Br2 PBE-GGA optimized geometry; E_form (uncorrected) = -1.40 eV/atom; density = 5.5 g cm⁻³
1.0
14.0612 0.0000 0.0000
0.0000 4.1997 0.0000
-1.3074 0.0000 7.4255
Ce As Br
6 4 4
Direct
0.0000 0.0000 0.0000 Ce
0.2428 0.0000 0.7678 Ce
0.2572 0.5000 0.2322 Ce
0.5000 0.5000 0.0000 Ce
0.7428 0.5000 0.7678 Ce
0.7572 0.0000 0.2322 Ce
0.1236 0.5000 0.8845 As
0.3764 0.0000 0.1155 As
0.6236 0.0000 0.8845 As
0.8764 0.5000 0.1155 As
0.1268 0.0000 0.3769 Br
0.3732 0.5000 0.6231 Br
0.6268 0.5000 0.3769 Br
0.8732 0.0000 0.6231 Br



[4]
Ce4As2Br3 PBE-GGA optimized geometry; E_form (uncorrected) = -1.49 eV/atom; density = 5.9 g cm⁻³
1.0
3.6660 -2.1167 0.0000
3.6660 2.1167 0.0000
-0.0193 0.0000 17.3281
Ce As Br
4 2 3
Direct
0.0008 0.0008 0.2943 Ce
0.3336 0.3336 0.1063 Ce
0.6664 0.6664 0.8937 Ce
0.9992 0.9992 0.7057 Ce
0.3328 0.3328 0.7998 As
0.6672 0.6672 0.2002 As
0.0000 0.0000 0.0000 Br
0.3343 0.3343 0.3995 Br
0.6657 0.6657 0.6005 Br



[5]
Ce3As2Br PBE-GGA optimized geometry; E_form (uncorrected) = -1.35 eV/atom; density = 6.5 g cm⁻³
1.0
4.2207 0.0000 0.0000
-2.1103 3.6552 0.0000
0.0000 0.0000 21.3719
Ce As Br
6 4 2
Direct
0.0000 0.0000 0.0000 Ce
0.0000 0.0000 0.5000 Ce
0.3333 0.6667 0.1550 Ce
0.3333 0.6667 0.3450 Ce
0.6667 0.3333 0.6550 Ce
0.6667 0.3333 0.8450 Ce
0.3333 0.6667 0.5808 As
0.3333 0.6667 0.9192 As
0.6667 0.3333 0.0808 As
0.6667 0.3333 0.4192 As
0.0000 0.0000 0.2500 Br
0.0000 0.0000 0.7500 Br



[6]
CeAsBr PBE-GGA optimized geometry; E_form (uncorrected) = -1.04 eV/atom; density = 5.4 g cm⁻³
1.0
11.4181 0.0000 0.0000
0.0000 7.3832 0.0000
-0.4419 0.0000 4.3348
Ce As Br
4 4 4
Direct
0.2129 0.0000 0.2131 Ce
0.2871 0.5000 0.7869 Ce
0.7129 0.5000 0.2131 Ce
0.7871 0.0000 0.7869 Ce
0.0933 0.8066 0.6653 As
0.4067 0.3066 0.3347 As
0.5933 0.3066 0.6653 As
0.9067 0.8066 0.3347 As
0.1172 0.3650 0.2547 Br
0.3828 0.8650 0.7453 Br
0.6172 0.8650 0.2547 Br
0.8828 0.3650 0.7453 Br



[7]
Ce6As5Br PBE-GGA optimized geometry; E_form (uncorrected) = -1.42 eV/atom; density = 6.7 g cm⁻³
1.0
3.6680 -6.3508 0.0000
3.6680 6.3508 0.0000
-2.4438 0.0000 6.9066
Ce As Br
6 5 1
Direct
0.0715 0.4144 0.7437 Ce
0.2420 0.2420 0.2549 Ce
0.4144 0.0715 0.7437 Ce
0.5856 0.9285 0.2563 Ce
0.7580 0.7580 0.7451 Ce
0.9285 0.5856 0.2563 Ce
0.0000 0.0000 0.5000 As
0.1671 0.8329 0.0000 As
0.3367 0.6633 0.5000 As
0.6633 0.3367 0.5000 As
0.8329 0.1671 0.0000 As
0.5000 0.5000 0.0000 Br



[8]
CeCuAsBr PBE-GGA optimized geometry; E_form (uncorrected) = -1.06 eV/atom; density = 5.7 g cm⁻³
1.0
2.0958 1.2100 13.7214
-2.0958 1.2100 13.7214
0.0000 -2.4201 13.7214
Ce Cu As Br
2 2 2 2
Direct
0.0779 0.0779 0.0779 Ce
0.9221 0.9221 0.9221 Ce
0.3098 0.3098 0.3098 Cu
0.6902 0.6902 0.6902 Cu
0.3714 0.3714 0.3714 As
0.6286 0.6286 0.6286 As
0.2102 0.2102 0.2102 Br
0.7898 0.7898 0.7898 Br



[9]
Ce2AsH2Br PBE-GGA optimized geometry; density = 6.3 g cm⁻³
1.0
4.0207 0.0000 0.0000
-2.0103 3.4820 0.0000
0.0000 0.0000 8.2148
Ce As H Br
2 1 2 1
Direct
0.3333 0.6667 0.2765 Ce
0.6667 0.3333 0.7235 Ce
0.0000 0.0000 0.5000 As
0.3333 0.6667 0.7502 H
0.6667 0.3333 0.2498 H
0.0000 0.0000 0.0000 Br



[10]
Ce8AsIr3Br4 PBE-GGA optimized geometry; E_form (uncorrected) = -1.09 eV/atom; density = 7.8 g cm⁻³
1.0
4.1716 2.4085 7.4317
-4.1716 2.4085 7.4317
0.0000 -4.8169 7.4317
Ce As Ir Br
8 1 3 4
Direct
0.2241 0.7408 0.7408 Ce
0.2331 0.2331 0.2331 Ce
0.2592 0.2592 0.7759 Ce
0.2592 0.7759 0.2592 Ce
0.7408 0.2241 0.7408 Ce
0.7408 0.7408 0.2241 Ce
0.7669 0.7669 0.7669 Ce
0.7759 0.2592 0.2592 Ce
0.5000 0.5000 0.5000 As
0.0000 0.0000 0.5000 Ir
0.0000 0.5000 0.0000 Ir
0.5000 0.0000 0.0000 Ir
0.0000 0.0000 0.0000 Br
0.0000 0.5000 0.5000 Br
0.5000 0.0000 0.5000 Br
0.5000 0.5000 0.0000 Br



[11]
Ce6AsOs2Br3 PBE-GGA optimized geometry; E_form (uncorrected) = -0.92 eV/atom; density = 7.7 g cm⁻³
1.0
3.6115 -6.2409 0.0000
3.6115 6.2409 0.0000
-2.4151 0.0000 7.3842
Ce As Os Br
6 1 2 3
Direct
0.0815 0.4323 0.7947 Ce
0.2167 0.2167 0.2026 Ce
0.4323 0.0815 0.7947 Ce
0.5677 0.9185 0.2053 Ce
0.7833 0.7833 0.7974 Ce
0.9185 0.5677 0.2053 Ce
0.5000 0.5000 0.0000 As
0.1670 0.8330 0.0000 Os
0.8330 0.1670 0.0000 Os
0.0000 0.0000 0.5000 Br
0.3390 0.6610 0.5000 Br
0.6610 0.3390 0.5000 Br



[12]
Ce4AsOsBr2 PBE-GGA optimized geometry; E_form (uncorrected) = -1.02 eV/atom; density = 7.4 g cm⁻³
1.0
7.4157 0.0000 0.0000
0.0000 4.1178 0.0000
-2.2597 0.0000 7.2266
Ce As Os Br
4 1 1 2
Direct
0.2207 0.0000 0.2068 Ce
0.2443 0.5000 0.7855 Ce
0.7557 0.5000 0.2145 Ce
0.7793 0.0000 0.7932 Ce
0.5000 0.0000 0.0000 As
0.0000 0.5000 0.0000 Os
0.0000 0.0000 0.5000 Br
0.5000 0.5000 0.5000 Br



[13]
Ce6AsP2Br3 PBE-GGA optimized geometry; E_form (uncorrected) = -1.38 eV/atom; density = 6.4 g cm⁻³
1.0
9.2290 -2.0820 0.0000
9.2290 2.0820 0.0000
-2.1629 0.0000 8.2244
Ce As P Br
6 1 2 3
Direct
0.0099 0.0099 0.2431 Ce
0.3263 0.3263 0.4355 Ce
0.3362 0.3362 0.8936 Ce
0.6638 0.6638 0.1064 Ce
0.6737 0.6737 0.5645 Ce
0.9901 0.9901 0.7569 Ce
0.5000 0.5000 0.0000 As
0.1680 0.1680 0.3348 P
0.8320 0.8320 0.6652 P
0.1643 0.1643 0.8325 Br
0.5000 0.5000 0.5000 Br
0.8357 0.8357 0.1675 Br



Summary of total energy in Ha/atom
-0.1436, -0.1981, -0.2111, -0.2101, -0.2258, -0.1884, -0.2374, -0.1891, -0.1925, -0.2361, -0.2414, -0.2347, -0.2225
(order as listed above)